Density functional theory data (PBE) for an optimized crystal structure of Sc2TaFe.

Cell and atoms, written as POSCAR:
```
Sc2TaFe
1.0
1.5573 0.8991 9.1497
-1.5573 0.8991 9.1497
0.0000 -1.7982 9.1497
Sc Ta Fe
2 1 1
direct
0.0000 0.0000 0.0000 Sc
0.2268 0.2268 0.2268 Sc
0.4706 0.4706 0.4706 Ta
0.7393 0.7393 0.7393 Fe
```

* polymorph energy (0 for the lowest one): 0.210 eV per atom
* crystal system: trigonal
* energy of formation from the pure elements: 177 meV/atom
* DFT total energy: -8.07 eV per atom
* calculated density: 7.058 g/cm3
* density of states at the Fermi level: 4.37 states/eV/cell